Record 1
LaAl4Ag2: optimized geometry, PBE-GGA.

V   141.59 Å³/cell
Formation energy   -0.195 eV per atom
ΔE to the lowest computed polymorph   48.0 meV/atom

a = 5.1621 Å, b = 5.8589 Å, c = 5.8579 Å
α = 71.23°, β = 64.17°, γ = 64.14°
Fractional coordinates of all 7 atoms:
Al 0.3275 0.9889 0.3884
Al 0.6728 0.6116 0.0106
Al 0.6725 0.0111 0.6116
Al 0.3272 0.3885 0.9894
La 0.0000 0.0000 0.0000
Ag 0.8150 0.4378 0.4377
Ag 0.1850 0.5622 0.5623

***

Record 2
FePtSe2: optimized geometry, PBE-GGA.

V   65.12 Å³/cell
ΔE to the lowest computed polymorph   468.6 meV/atom
ΔE_f (raw)   27.7 kJ per mole of atoms

a = 4.5159 Å, b = 4.5159 Å, c = 4.5159 Å
α = 60.00°, β = 60.00°, γ = 60.00°
Last column: magnetic moment on the atom in μB.
Fractional coordinates of all 4 atoms:
Se 0.7500 0.7500 0.7500  -0.10
Se 0.2500 0.2500 0.2500  -0.10
Pt 0.5000 0.5000 0.5000  -0.15
Fe 0.0000 0.0000 0.0000  2.54

***

Record 3
Ce5Tl: optimized geometry, PBE-GGA.

V   163.09 Å³/cell
Formation energy   -0.004 eV per atom
ΔE to the lowest computed polymorph   48.5 meV/atom

a = 5.5619 Å, b = 5.7910 Å, c = 5.8328 Å
α = 119.76°, β = 90.00°, γ = 90.00°
Last column: magnetic moment on the atom in μB.
Fractional coordinates of all 6 atoms:
Ce 0.0000 0.1409 0.2817  0.43
Ce 0.5000 0.3188 0.6376  0.35
Ce 0.5000 0.6812 0.3624  0.35
Ce 0.0000 0.8591 0.7183  0.43
Ce 0.5000 0.0000 0.0000  0.21
Tl 0.0000 0.5000 0.0000  -0.01

***

Record 4
NaHfSN: optimized geometry, PBE-GGA.

V   65.57 Å³/cell
ΔE_f (raw)   -134.1 kJ per mole of atoms

a = 3.4257 Å, b = 3.4257 Å, c = 6.7478 Å
α = 89.99°, β = 104.71°, γ = 120.00°
Fractional coordinates of all 4 atoms:
S 0.4937 0.1448 0.6537
Hf 0.3365 0.5662 0.9181
Na 0.9532 0.3746 0.3428
N 0.0945 0.9452 0.0551

***

Record 5
Dy5PaRh6: optimized geometry, PBE-GGA.

V   244.69 Å³/cell
Formation energy   -0.855 eV per atom

a = 4.8394 Å, b = 6.9547 Å, c = 7.6761 Å
α = 90.00°, β = 71.29°, γ = 90.00°
Fractional coordinates of all 12 atoms:
Pa 0.0000 0.0000 0.0000
Dy 0.6717 0.0000 0.6572
Dy 0.3283 0.0000 0.3428
Dy 0.6679 0.5000 0.6642
Dy 0.3321 0.5000 0.3358
Dy 0.0000 0.5000 0.0000
Rh 0.5001 0.7684 0.0000
Rh 0.4999 0.2316 0.0000
Rh 0.1542 0.2408 0.6912
Rh 0.8458 0.2408 0.3088
Rh 0.1542 0.7592 0.6912
Rh 0.8458 0.7592 0.3088